Material: Pm8PrNd6
Method: DFT, PBE
State: optimized geometry

```
data_Pm8PrNd6
_symmetry_space_group_name_H-M 'P 1'
_symmetry_Int_Tables_number 1
_symmetry_space_group_name_Hall 'P 1'
_cell_length_a 6.704
_cell_length_b 9.598
_cell_length_c 9.598
_cell_angle_alpha 120.00
_cell_angle_beta 90.00
_cell_angle_gamma 90.00
loop_
_atom_site_label
_atom_site_type_symbol
_atom_site_fract_x
_atom_site_fract_y
_atom_site_fract_z
Pm1 Pm 0.839 0.028 0.283
Pm2 Pm 0.839 0.717 0.744
Pm3 Pm 0.839 0.256 0.972
Pm4 Pm 0.161 0.972 0.717
Pm5 Pm 0.161 0.283 0.256
Pm6 Pm 0.161 0.744 0.028
Pm7 Pm 0.890 0.333 0.667
Pm8 Pm 0.110 0.667 0.333
Pr1 Pr 0.500 0.000 0.000
Nd1 Nd 0.660 0.652 0.085
Nd2 Nd 0.660 0.915 0.567
Nd3 Nd 0.660 0.433 0.348
Nd4 Nd 0.340 0.348 0.915
Nd5 Nd 0.340 0.085 0.433
Nd6 Nd 0.340 0.567 0.652
```

## Properties
**Calculated density**: 6.73 Mg/m³
**Energy relative to the elements**: 168 meV per atom
**Space group**: No. 147
**Calculated volume**: 35.659 Å³ per atom
**Calculated total energy**: -4.59 eV per atom
**ΔE to the lowest computed polymorph**: 25 meV/atom